# ZrZnCuBi, relaxed, DFT PBE
# - Electronic total energy: -4.20 eV/atom
# - ΔE to the lowest computed polymorph: 0.00 eV per formula unit
data_ZrZnCuBi
_cell_length_a 6.841
_cell_length_b 6.841
_cell_length_c 6.841
_cell_angle_alpha 90.00
_cell_angle_beta 90.00
_cell_angle_gamma 90.00
_space_group_name_H-M_alt 'F -4 3 m'
_space_group_IT_number 216
_space_group_name_Hall 'F -4 2 3'
loop_
_atom_site_label
_atom_site_type_symbol
_atom_site_fract_x
_atom_site_fract_y
_atom_site_fract_z
_atom_site_occupancy
Zr1 Zr 0.000 0.000 0.000 1
Zn1 Zn 0.250 0.250 0.750 1
Cu1 Cu 0.250 0.250 0.250 1
Bi1 Bi 0.000 0.000 0.500 1